# PuSi2Ni (GGA-PBE, optimized geometry)
data_PuSi2Ni
_cell_length_a 3.8896
_cell_length_b 3.8896
_cell_length_c 15.2931
_cell_angle_alpha 90.00
_cell_angle_beta 90.00
_cell_angle_gamma 120.00
_space_group_name_H-M_alt 'R -3 m'
_space_group_IT_number 166
_space_group_name_Hall '-R 3 2"'
loop_
_atom_site_label
_atom_site_type_symbol
_atom_site_fract_x
_atom_site_fract_y
_atom_site_fract_z
Pu1 Pu 0.0000 0.0000 0.0000
Si1 Si 0.0000 0.0000 0.2109
Ni1 Ni 0.0000 0.0000 0.5000
# * E_form (uncorrected): -0.585 eV/atom
# * theoretical density: 8.92 g/cm³